1.
Pa3TlO8 | PBE-GGA | relaxed

Geometry as POSCAR:
```
Pa3TlO8
1.0
6.2367 0.0000 0.0000
-3.1184 5.4012 0.0000
0.0000 0.0000 7.5773
Pa Tl O
3 1 8
Direct
0.0000 0.0000 0.0000
0.3333 0.6667 0.0825
0.6667 0.3333 0.9175
0.0000 0.0000 0.5000
0.0406 0.3413 0.8878
0.3007 0.9594 0.8878
0.3333 0.6667 0.3324
0.3413 0.3007 0.1122
0.6587 0.6993 0.8878
0.6667 0.3333 0.6676
0.6993 0.0406 0.1122
0.9594 0.6587 0.1122
```

* V: 21.3 Å³/atom
* uncorrected formation energy: -3428 kJ/mol of formula units

=====

2.
PaTl6O12 | PBE-GGA | relaxed

Geometry as POSCAR:
```
PaTl6O12
1.0
5.1131 2.9520 3.1445
-5.1131 2.9520 3.1445
0.0000 -5.9041 3.1445
Pa Tl O
1 6 12
Direct
0.0000 0.0000 0.0000
0.1383 0.6074 0.3242
0.3242 0.1383 0.6074
0.3926 0.6758 0.8617
0.6074 0.3242 0.1383
0.6758 0.8617 0.3926
0.8617 0.3926 0.6758
0.0469 0.6916 0.8908
0.1092 0.9531 0.3084
0.1779 0.4119 0.5962
0.3084 0.1092 0.9531
0.4038 0.8221 0.5881
0.4119 0.5962 0.1779
0.5881 0.4038 0.8221
0.5962 0.1779 0.4119
0.6916 0.8908 0.0469
0.8221 0.5881 0.4038
0.8908 0.0469 0.6916
0.9531 0.3084 0.1092
```

* V: 15.0 Å³/atom
* uncorrected formation energy: -2026 kJ/mol of formula units

=====

3.
Pa5TlO12 | PBE-GGA | relaxed

Geometry as POSCAR:
```
Pa5TlO12
1.0
5.1881 -3.1155 0.0000
5.1881 3.1155 0.0000
-0.0067 0.0000 10.6171
Pa Tl O
5 1 12
Direct
0.0000 0.0000 0.0000
0.0435 0.0435 0.3419
0.3339 0.3339 0.2002
0.6661 0.6661 0.7998
0.9565 0.9565 0.6581
0.5000 0.5000 0.5000
0.0025 0.4046 0.2942
0.1134 0.1134 0.5365
0.1875 0.7374 0.1631
0.1960 0.1960 0.0471
0.2626 0.8125 0.8369
0.4046 0.0025 0.2942
0.5954 0.9975 0.7058
0.7374 0.1875 0.1631
0.8040 0.8040 0.9529
0.8125 0.2626 0.8369
0.8866 0.8866 0.4635
0.9975 0.5954 0.7058
```

* V: 19.1 Å³/atom
* uncorrected formation energy: -5326 kJ/mol of formula units

=====

4.
Pa3Tl2O8 | PBE-GGA | relaxed

Geometry as POSCAR:
```
Pa3Tl2O8
1.0
6.7887 -3.5784 0.0000
6.7887 3.5784 0.0000
-2.1414 0.0000 5.7485
Pa Tl O
3 2 8
Direct
0.0000 0.0000 0.0000
0.2570 0.7430 0.5000
0.7430 0.2570 0.5000
0.3059 0.3059 0.8583
0.6941 0.6941 0.1417
0.0788 0.0788 0.3965
0.1383 0.7006 0.1250
0.2994 0.8617 0.8750
0.4104 0.4104 0.5397
0.5896 0.5896 0.4603
0.7006 0.1383 0.1250
0.8617 0.2994 0.8750
0.9212 0.9212 0.6035
```

* V: 21.5 Å³/atom
* uncorrected formation energy: -3563 kJ/mol of formula units

=====

5.
PaTl2O4 | PBE-GGA | relaxed

Geometry as POSCAR:
```
PaTl2O4
1.0
3.9610 0.0000 0.0000
0.0000 15.9635 0.0000
0.0000 0.0000 3.8487
Pa Tl O
2 4 8
Direct
0.0000 0.0000 0.0000
0.5000 0.5000 0.0000
0.0000 0.3322 0.5000
0.0000 0.6678 0.5000
0.5000 0.1678 0.5000
0.5000 0.8322 0.5000
0.0000 0.0789 0.5000
0.0000 0.4204 0.0000
0.0000 0.5796 0.0000
0.0000 0.9211 0.5000
0.5000 0.0796 0.0000
0.5000 0.4211 0.5000
0.5000 0.5789 0.5000
0.5000 0.9204 0.0000
```

* V: 17.4 Å³/atom
* uncorrected formation energy: -1388 kJ/mol of formula units

=====

6.
Pa2TlO6 | PBE-GGA | relaxed

Geometry as POSCAR:
```
Pa2TlO6
1.0
0.0000 5.7156 5.7156
5.7156 0.0000 5.7156
5.7156 5.7156 0.0000
Pa Tl O
4 2 12
Direct
0.0000 0.0000 0.0000
0.0000 0.0000 0.5000
0.0000 0.5000 0.0000
0.5000 0.0000 0.0000
0.3750 0.3750 0.3750
0.6250 0.6250 0.6250
0.0675 0.0675 0.6825
0.0675 0.6825 0.0675
0.0675 0.6825 0.6825
0.3175 0.3175 0.9325
0.3175 0.9325 0.3175
0.3175 0.9325 0.9325
0.6825 0.0675 0.0675
0.6825 0.0675 0.6825
0.6825 0.6825 0.0675
0.9325 0.3175 0.3175
0.9325 0.3175 0.9325
0.9325 0.9325 0.3175
```

* V: 20.7 Å³/atom
* uncorrected formation energy: -2411 kJ/mol of formula units

=====

7.
Pa3Tl4O12 | PBE-GGA | relaxed

Geometry as POSCAR:
```
Pa3Tl4O12
1.0
-4.3744 4.3744 4.3744
4.3744 -4.3744 4.3744
4.3744 4.3744 -4.3744
Pa Tl O
3 4 12
Direct
0.0000 0.5000 0.5000
0.5000 0.0000 0.5000
0.5000 0.5000 0.0000
0.0000 0.0000 0.5000
0.0000 0.5000 0.0000
0.5000 0.0000 0.0000
0.5000 0.5000 0.5000
0.1593 0.8197 0.3396
0.1803 0.3396 0.5199
0.1803 0.6604 0.8407
0.3396 0.1593 0.8197
0.3396 0.5199 0.1803
0.4801 0.8197 0.6604
0.5199 0.1803 0.3396
0.6604 0.4801 0.8197
0.6604 0.8407 0.1803
0.8197 0.3396 0.1593
0.8197 0.6604 0.4801
0.8407 0.1803 0.6604
```

* V: 17.6 Å³/atom
* uncorrected formation energy: -3538 kJ/mol of formula units

=====

8.
Pa2TlO | PBE-GGA | relaxed

Geometry as POSCAR:
```
Pa2TlO
1.0
3.2872 0.0000 0.0000
-1.6436 2.8468 0.0000
0.0000 0.0000 26.4770
Pa Tl O
6 3 3
Direct
0.0000 0.0000 0.2269
0.0000 0.0000 0.7731
0.3333 0.6667 0.4398
0.3333 0.6667 0.8935
0.6667 0.3333 0.1065
0.6667 0.3333 0.5602
0.0000 0.0000 0.0000
0.3333 0.6667 0.6667
0.6667 0.3333 0.3333
0.0000 0.0000 0.5000
0.3333 0.6667 0.1667
0.6667 0.3333 0.8333
```

* V: 20.6 Å³/atom
* uncorrected formation energy: -429 kJ/mol of formula units